The following is a DFT calculation (PBE) of a geometry-optimized PaTiNbRe structure.

Summary:
**Raw total energy**: -40.4 eV/cell
**Formation enthalpy at 0 K**: -11.9 kJ per mole of atoms

abc: 4.699 4.699 4.699
angles: 60.00 60.00 60.00
Atoms (fractional coordinates):
Ti (0.250, 0.250, 0.250)
Pa (0.750, 0.750, 0.750)
Re (0.500, 0.500, 0.500)
Nb (0.000, 0.000, 0.000)